1.
Compound: CuSn2Sb
Source: OQMD
Functional: GGA-PBE
Structure: relaxed

Geometry as CIF:
```
data_CuSn2Sb
_chemical_formula_sum 'Cu1 Sn2 Sb1'
_cell_length_a 5.134
_cell_length_b 5.134
_cell_length_c 5.134
_cell_angle_alpha 60.00
_cell_angle_beta 60.00
_cell_angle_gamma 60.00
_symmetry_space_group_name_H-M 'P 1'
_symmetry_Int_Tables_number 1
_symmetry_space_group_name_Hall 'P 1'
loop_
_atom_site_label
_atom_site_type_symbol
_atom_site_fract_x
_atom_site_fract_y
_atom_site_fract_z
Cu1 Cu 0.250 0.250 0.250
Sn1 Sn 0.000 0.000 0.000
Sn2 Sn 0.750 0.750 0.750
Sb1 Sb 0.500 0.500 0.500
```

Results
Final energy in eV per cell: -14.67
Symmetry: F-43m
Crystal system: cubic
V in Å³ per cell: 95.7



2.
Compound: CuSnSb2
Source: OQMD
Functional: GGA-PBE
Structure: relaxed

Geometry as CIF:
```
data_CuSnSb2
_chemical_formula_sum 'Cu1 Sn1 Sb2'
_cell_length_a 5.135
_cell_length_b 5.135
_cell_length_c 5.135
_cell_angle_alpha 60.00
_cell_angle_beta 60.00
_cell_angle_gamma 60.00
_symmetry_space_group_name_H-M 'P 1'
_symmetry_Int_Tables_number 1
_symmetry_space_group_name_Hall 'P 1'
loop_
_atom_site_label
_atom_site_type_symbol
_atom_site_fract_x
_atom_site_fract_y
_atom_site_fract_z
Cu1 Cu 0.250 0.250 0.250
Sb1 Sb 0.000 0.000 0.000
Sn1 Sn 0.500 0.500 0.500
Sb2 Sb 0.750 0.750 0.750
```

Results
Final energy in eV per cell: -14.62
Symmetry: F-43m
Crystal system: cubic
V in Å³ per cell: 95.7



3.
Compound: Sr3Cu4Sb4
Source: OQMD
Functional: GGA-PBE
Structure: relaxed

Geometry as CIF:
```
data_Sr3Cu4Sb4
_chemical_formula_sum 'Sr3 Cu4 Sb4'
_cell_length_a 8.736
_cell_length_b 8.736
_cell_length_c 8.736
_cell_angle_alpha 148.38
_cell_angle_beta 132.05
_cell_angle_gamma 58.57
_symmetry_space_group_name_H-M 'P 1'
_symmetry_Int_Tables_number 1
_symmetry_space_group_name_Hall 'P 1'
loop_
_atom_site_label
_atom_site_type_symbol
_atom_site_fract_x
_atom_site_fract_y
_atom_site_fract_z
Sr1 Sr 0.000 0.000 0.000
Sr2 Sr 0.632 0.132 0.500
Sb1 Sb 0.219 0.219 0.000
Sb2 Sb 0.703 0.500 0.203
Cu1 Cu 0.650 0.331 0.319
Cu2 Cu 0.988 0.669 0.319
Sb3 Sb 0.297 0.500 0.797
Sr3 Sr 0.368 0.868 0.500
Sb4 Sb 0.781 0.781 0.000
Cu3 Cu 0.350 0.669 0.681
Cu4 Cu 0.012 0.331 0.681
```

Results
Final energy in eV per cell: -42.29
Symmetry: Immm
Crystal system: orthorhombic
V in Å³ per cell: 257.5



4.
Compound: TaCuSb2
Source: OQMD
Functional: GGA-PBE
Structure: relaxed

Geometry as CIF:
```
data_TaCuSb2
_chemical_formula_sum 'Ta1 Cu1 Sb2'
_cell_length_a 4.873
_cell_length_b 4.873
_cell_length_c 4.873
_cell_angle_alpha 60.00
_cell_angle_beta 60.00
_cell_angle_gamma 60.00
_symmetry_space_group_name_H-M 'P 1'
_symmetry_Int_Tables_number 1
_symmetry_space_group_name_Hall 'P 1'
loop_
_atom_site_label
_atom_site_type_symbol
_atom_site_fract_x
_atom_site_fract_y
_atom_site_fract_z
Ta1 Ta 0.500 0.500 0.500
Cu1 Cu 0.250 0.250 0.250
Sb1 Sb 0.000 0.000 0.000
Sb2 Sb 0.750 0.750 0.750
```

Results
Final energy in eV per cell: -21.21
Symmetry: F-43m
Crystal system: cubic
V in Å³ per cell: 81.8



5.
Compound: TaCuTcSb
Source: OQMD
Functional: GGA-PBE
Structure: relaxed

Geometry as CIF:
```
data_TaCuTcSb
_chemical_formula_sum 'Ta1 Cu1 Tc1 Sb1'
_cell_length_a 4.514
_cell_length_b 4.514
_cell_length_c 4.514
_cell_angle_alpha 60.00
_cell_angle_beta 60.00
_cell_angle_gamma 60.00
_symmetry_space_group_name_H-M 'P 1'
_symmetry_Int_Tables_number 1
_symmetry_space_group_name_Hall 'P 1'
loop_
_atom_site_label
_atom_site_type_symbol
_atom_site_fract_x
_atom_site_fract_y
_atom_site_fract_z
Ta1 Ta 0.000 0.000 0.000
Cu1 Cu 0.750 0.750 0.750
Tc1 Tc 0.500 0.500 0.500
Sb1 Sb 0.250 0.250 0.250
```

Results
Final energy in eV per cell: -28.97
Symmetry: F-43m
Crystal system: cubic
V in Å³ per cell: 65.0
Distance to the lowest polymorph of the same formula in meV/atom: 170.8



6.
Compound: TaCuTcSb
Source: OQMD
Functional: GGA-PBE
Structure: relaxed

Geometry as CIF:
```
data_TaCuTcSb
_chemical_formula_sum 'Ta1 Cu1 Tc1 Sb1'
_cell_length_a 4.521
_cell_length_b 4.521
_cell_length_c 4.521
_cell_angle_alpha 60.00
_cell_angle_beta 60.00
_cell_angle_gamma 60.00
_symmetry_space_group_name_H-M 'P 1'
_symmetry_Int_Tables_number 1
_symmetry_space_group_name_Hall 'P 1'
loop_
_atom_site_label
_atom_site_type_symbol
_atom_site_fract_x
_atom_site_fract_y
_atom_site_fract_z
Ta1 Ta 0.000 0.000 0.000
Cu1 Cu 0.750 0.750 0.750
Sb1 Sb 0.500 0.500 0.500
Tc1 Tc 0.250 0.250 0.250
```

Results
Final energy in eV per cell: -29.65
Symmetry: F-43m
Crystal system: cubic
V in Å³ per cell: 65.3
Distance to the lowest polymorph of the same formula in meV/atom: 0.0